# NaTiSbI2 (meta-GGA SCAN, single point on PBEsol structure)
data_NaTiSbI2
_cell_length_a 5.545
_cell_length_b 5.545
_cell_length_c 5.318
_cell_angle_alpha 90.00
_cell_angle_beta 90.00
_cell_angle_gamma 90.00
_space_group_name_H-M_alt 'P 4/m m m'
_space_group_IT_number 123
_space_group_name_Hall '-P 4 2'
loop_
_atom_site_label
_atom_site_type_symbol
_atom_site_fract_x
_atom_site_fract_y
_atom_site_fract_z
_atom_site_occupancy
Na1 Na 0.000 0.000 0.000 1
Ti1 Ti 0.500 0.500 0.500 1
Sb1 Sb 0.500 0.500 0.000 1
I1 I 0.000 0.500 0.500 1
# **E_form (uncorrected)**: -0.3680 eV/atom
# **Spin magnetization**: 0.3 μB/f.u.